First-principles (PBE-GGA) data for crystalline KNa2ThF8 at its relaxed geometry, as listed in Alexandria via LeMat-Bulk.

a = 5.7035 Å, b = 5.7035 Å, c = 7.1845 Å
α = 113.39°, β = 113.39°, γ = 90.00°
Element x y z (fractional)
F (0.8656, 0.3834, 0.2737)
F (0.4081, 0.8903, 0.2737)
F (0.4084, 0.3829, 0.2728)
F (0.6171, 0.1356, 0.7272)
F (0.1101, 0.5916, 0.7272)
F (0.6166, 0.5919, 0.7263)
F (0.8644, 0.8899, 0.2728)
F (0.1097, 0.1344, 0.7263)
Th (0.7500, 0.2500, 0.5000)
Na (0.2500, 0.7500, 0.5000)
Na (0.5000, 0.5000, 0.0000)
K (0.0000, 0.0000, 0.0000)

Computed properties:
Electronic total energy: -63.50 eV/cell
Space-group type: No. 119

***

First-principles (PBE-GGA) data for crystalline YPaFeOs at its relaxed geometry, as listed in Alexandria via LeMat-Bulk.

a = 4.8143 Å, b = 4.8143 Å, c = 4.8143 Å
α = 60.00°, β = 60.00°, γ = 60.00°
Element x y z (fractional)
Y (0.0000, 0.0000, 0.0000)
Fe (0.2500, 0.2500, 0.2500)
Pa (0.5000, 0.5000, 0.5000)
Os (0.7500, 0.7500, 0.7500)

Computed properties:
Electronic total energy: -35.96 eV/cell
Energy of formation from the pure elements: -0.3 eV/f.u.
Space-group type: No. 216

***

First-principles (PBE-GGA) data for crystalline Eu3Ti5S12 at its relaxed geometry, as listed in Alexandria via LeMat-Bulk.

a = 13.3438 Å, b = 13.3438 Å, c = 13.3438 Å
α = 109.47°, β = 109.47°, γ = 109.47°
Element x y z (fractional)
S (0.4127, 0.2971, 0.3196)
S (0.4068, 0.3843, 0.5873)
S (0.2971, 0.4127, 0.8196)
S (0.0932, 0.9127, 0.1157)
S (0.9775, 0.3843, 0.2971)
S (0.4775, 0.6804, 0.0932)
S (0.7029, 0.5873, 0.1804)
S (0.5932, 0.6157, 0.4127)
S (0.5225, 0.3196, 0.9068)
S (0.9127, 0.0932, 0.6157)
S (0.2971, 0.8843, 0.9775)
S (0.0932, 0.1804, 0.4775)
S (0.4127, 0.1157, 0.5932)
S (0.1157, 0.7029, 0.5225)
S (0.8196, 0.9127, 0.2971)
S (0.8843, 0.5873, 0.9068)
S (0.2029, 0.6804, 0.0873)
S (0.3843, 0.4068, 0.0873)
S (0.9127, 0.8196, 0.7971)
S (0.4068, 0.0225, 0.3196)
S (0.8196, 0.9068, 0.0225)
S (0.5932, 0.9775, 0.6804)
S (0.1804, 0.0873, 0.7029)
S (0.0873, 0.9068, 0.3843)
S (0.7029, 0.1157, 0.0225)
S (0.5873, 0.8843, 0.4068)
S (0.1804, 0.0932, 0.9775)
S (0.4775, 0.7971, 0.8843)
S (0.6804, 0.4775, 0.5932)
S (0.6804, 0.2029, 0.5873)
S (0.9068, 0.0873, 0.8843)
S (0.9775, 0.5932, 0.1804)
S (0.3196, 0.7971, 0.4127)
S (0.5873, 0.7029, 0.6804)
S (0.7971, 0.3196, 0.9127)
S (0.0225, 0.4068, 0.8196)
S (0.6157, 0.0225, 0.2029)
S (0.6157, 0.5932, 0.9127)
S (0.1157, 0.4127, 0.0932)
S (0.8843, 0.2971, 0.4775)
S (0.2029, 0.5225, 0.6157)
S (0.7971, 0.4775, 0.3843)
S (0.0873, 0.1804, 0.2029)
S (0.3843, 0.9775, 0.7971)
S (0.5225, 0.2029, 0.1157)
S (0.3196, 0.5225, 0.4068)
S (0.9068, 0.8196, 0.5225)
S (0.0225, 0.6157, 0.7029)
Ti (0.1250, 0.3750, 0.2500)
Ti (0.5000, 0.5000, 0.0000)
Ti (0.2500, 0.3750, 0.6250)
Ti (0.0000, 0.0000, 0.5000)
Ti (0.0000, 0.0000, 0.0000)
Ti (0.6250, 0.7500, 0.8750)
Ti (0.7500, 0.1250, 0.8750)
Ti (0.8750, 0.2500, 0.6250)
Ti (0.8750, 0.6250, 0.7500)
Ti (0.1250, 0.7500, 0.3750)
Ti (0.5000, 0.5000, 0.5000)
Ti (0.2500, 0.8750, 0.1250)
Ti (0.5000, 0.0000, 0.0000)
Ti (0.3750, 0.2500, 0.1250)
Ti (0.6250, 0.8750, 0.2500)
Ti (0.0000, 0.5000, 0.0000)
Ti (0.5000, 0.0000, 0.5000)
Ti (0.0000, 0.5000, 0.5000)
Ti (0.7500, 0.6250, 0.3750)
Ti (0.3750, 0.1250, 0.7500)
Eu (0.6250, 0.2500, 0.3750)
Eu (0.8750, 0.7500, 0.1250)
Eu (0.7500, 0.3750, 0.1250)
Eu (0.7500, 0.8750, 0.6250)
Eu (0.3750, 0.7500, 0.6250)
Eu (0.1250, 0.8750, 0.7500)
Eu (0.2500, 0.1250, 0.3750)
Eu (0.8750, 0.1250, 0.2500)
Eu (0.6250, 0.3750, 0.7500)
Eu (0.3750, 0.6250, 0.2500)
Eu (0.2500, 0.6250, 0.8750)
Eu (0.1250, 0.2500, 0.8750)

Computed properties:
Electronic total energy: -598.42 eV/cell
Space-group type: No. 230

***

First-principles (PBE-GGA) data for crystalline Li2PmSbO4 at its relaxed geometry, as listed in Alexandria via LeMat-Bulk.

a = 3.4503 Å, b = 5.9714 Å, c = 5.5173 Å
α = 110.85°, β = 90.00°, γ = 90.00°
Element x y z (fractional)
Li (0.5000, 0.0000, 0.5000)
Li (0.0000, 0.5000, 0.5000)
O (0.0000, 0.7502, 0.2395)
O (0.0000, 0.2498, 0.7605)
O (0.5000, 0.2495, 0.2500)
O (0.5000, 0.7505, 0.7500)
Sb (0.0000, 0.0000, 0.0000)
Pm (0.5000, 0.5000, 0.0000)

Computed properties:
Electronic total energy: -48.43 eV/cell
Space-group type: No. 10

***

First-principles (PBE-GGA) data for crystalline Cu5Pd3Au3 at its relaxed geometry, as listed in Alexandria via LeMat-Bulk.

a = 3.8708 Å, b = 7.2746 Å, c = 8.2260 Å
α = 124.28°, β = 103.64°, γ = 105.36°
Element x y z (fractional)
Pd (0.3673, 0.0000, 0.6430)
Pd (0.4468, 0.8127, 0.9905)
Pd (0.2645, 0.1812, 0.2571)
Cu (0.9074, 0.9066, 0.8176)
Cu (0.7273, 0.2725, 0.0911)
Cu (0.5506, 0.6420, 0.3684)
Cu (0.0002, 0.7264, 0.1829)
Cu (0.6390, 0.4568, 0.7302)
Au (0.1978, 0.3743, 0.9301)
Au (0.8099, 0.0807, 0.4479)
Au (0.0891, 0.5467, 0.5411)

Computed properties:
Electronic total energy: -46.90 eV/cell
Energy of formation from the pure elements: -1.0 eV/f.u.
Space-group type: No. 1

***

First-principles (PBE-GGA) data for crystalline ErP3Rh5 at its relaxed geometry, as listed in Alexandria via LeMat-Bulk.

a = 3.8544 Å, b = 6.3346 Å, c = 12.2083 Å
α = 90.00°, β = 90.00°, γ = 107.71°
Element x y z (fractional)
Rh (0.7884, 0.5767, 0.0806)
Rh (0.5582, 0.1163, 0.8580)
Rh (0.4418, 0.8837, 0.3580)
Rh (0.5582, 0.1163, 0.6420)
Rh (0.2116, 0.4233, 0.5806)
Rh (0.2116, 0.4233, 0.9194)
Rh (0.0000, 0.0000, 0.0000)
Rh (0.7884, 0.5767, 0.4194)
Rh (0.4418, 0.8837, 0.1420)
Rh (0.0000, 0.0000, 0.5000)
P (0.3896, 0.7792, 0.5464)
P (0.1161, 0.2322, 0.7500)
P (0.8839, 0.7678, 0.2500)
P (0.6104, 0.2208, 0.4536)
P (0.6104, 0.2208, 0.0464)
P (0.3896, 0.7792, 0.9536)
Er (0.8606, 0.7212, 0.7500)
Er (0.1394, 0.2788, 0.2500)

Computed properties:
Electronic total energy: -129.14 eV/cell
Energy of formation from the pure elements: -7.0 eV/f.u.
Space-group type: No. 63

***

First-principles (PBE-GGA) data for crystalline CaZn4PtAu2 at its relaxed geometry, as listed in Alexandria via LeMat-Bulk.

a = 4.6303 Å, b = 4.6303 Å, c = 7.9267 Å
α = 73.02°, β = 73.02°, γ = 60.00°
Element x y z (fractional)
Zn (0.6126, 0.6126, 0.1622)
Zn (0.3874, 0.3874, 0.8378)
Zn (0.1415, 0.1415, 0.5754)
Zn (0.8585, 0.8585, 0.4246)
Pt (0.5000, 0.5000, 0.5000)
Au (0.7382, 0.7382, 0.7854)
Au (0.2618, 0.2618, 0.2146)
Ca (0.0000, 0.0000, 0.0000)

Computed properties:
Electronic total energy: -22.65 eV/cell
Energy of formation from the pure elements: -3.0 eV/f.u.
Space-group type: No. 166

***

First-principles (PBE-GGA) data for crystalline AcMnAg4 at its relaxed geometry, as listed in Alexandria via LeMat-Bulk.

a = 5.7062 Å, b = 5.7062 Å, c = 5.7062 Å
α = 60.00°, β = 60.00°, γ = 60.00°
Element x y z (fractional)
Ag (0.6263, 0.6263, 0.6263)
Ag (0.6263, 0.6263, 0.1211)
Ag (0.6263, 0.1211, 0.6263)
Ag (0.1211, 0.6263, 0.6263)
Ac (0.2500, 0.2500, 0.2500)
Mn (0.0000, 0.0000, 0.0000)

Computed properties:
Electronic total energy: -24.32 eV/cell
Energy of formation from the pure elements: 0.4 eV/f.u.
Space-group type: No. 216

***

First-principles (PBE-GGA) data for crystalline Fe2SbRh at its relaxed geometry, as listed in Alexandria via LeMat-Bulk.

a = 4.9413 Å, b = 4.9413 Å, c = 4.9413 Å
α = 135.03°, β = 135.16°, γ = 65.38°
Element x y z (fractional)
Rh (0.2500, 0.7500, 0.5000)
Sb (0.7500, 0.2500, 0.5000)
Fe (0.0000, 0.0000, 0.0000)
Fe (0.5000, 0.5000, 0.0000)

Computed properties:
Electronic total energy: -28.45 eV/cell
Space-group type: No. 139

***

First-principles (PBE-GGA) data for crystalline Li2PrBiSe4 at its relaxed geometry, as listed in Alexandria via LeMat-Bulk.

a = 4.1962 Å, b = 7.0049 Å, c = 7.2526 Å
α = 69.86°, β = 90.00°, γ = 90.00°
Element x y z (fractional)
Se (0.5000, 0.7624, 0.2434)
Se (0.0000, 0.2356, 0.2510)
Se (0.0000, 0.7644, 0.7490)
Se (0.5000, 0.2376, 0.7566)
Li (0.0000, 0.0000, 0.0000)
Li (0.5000, 0.0000, 0.5000)
Pr (0.0000, 0.5000, 0.5000)
Bi (0.5000, 0.5000, 0.0000)

Computed properties:
Electronic total energy: -35.91 eV/cell
Space-group type: No. 10

***

First-principles (PBE-GGA) data for crystalline NdScSi2 at its relaxed geometry, as listed in Alexandria via LeMat-Bulk.

a = 4.4426 Å, b = 4.4426 Å, c = 5.8297 Å
α = 67.60°, β = 67.60°, γ = 60.00°
Element x y z (fractional)
Si (0.7296, 0.7296, 0.8113)
Si (0.2704, 0.2704, 0.1887)
Sc (0.0000, 0.0000, 0.0000)
Nd (0.5000, 0.5000, 0.5000)

Computed properties:
Electronic total energy: -24.00 eV/cell
Energy above the most stable polymorph in this dataset: 0.211 eV/atom
Space-group type: No. 166

***

First-principles (PBE-GGA) data for crystalline SmY6Th3 at its relaxed geometry, as listed in Alexandria via LeMat-Bulk.

a = 6.3940 Å, b = 10.9476 Å, c = 10.9476 Å
α = 120.21°, β = 90.00°, γ = 90.00°
Element x y z (fractional)
Th (0.9647, 0.7081, 0.9399)
Th (0.9647, 0.0601, 0.2919)
Th (0.5517, 0.6176, 0.3824)
Th (0.4647, 0.2919, 0.0601)
Th (0.0517, 0.3824, 0.6176)
Th (0.4647, 0.9399, 0.7081)
Y (0.3817, 0.5310, 0.9422)
Y (0.3647, 0.9632, 0.0368)
Y (0.8647, 0.0368, 0.9632)
Y (0.0525, 0.3726, 0.2921)
Y (0.8817, 0.9422, 0.5310)
Y (0.1433, 0.7393, 0.2607)
Y (0.8817, 0.4690, 0.0578)
Y (0.0525, 0.7079, 0.6274)
Y (0.5525, 0.6274, 0.7079)
Y (0.5525, 0.2921, 0.3726)
Y (0.3817, 0.0578, 0.4690)
Y (0.6433, 0.2607, 0.7393)
Sm (0.1277, 0.1944, 0.8056)
Sm (0.6277, 0.8056, 0.1944)

Computed properties:
Electronic total energy: -127.51 eV/cell
Energy of formation from the pure elements: 2.0 eV/f.u.
Energy above the most stable polymorph in this dataset: 0.096 eV/atom
Space-group type: No. 36

***

First-principles (PBE-GGA) data for crystalline CaAsHCl2 at its relaxed geometry, as listed in Alexandria via LeMat-Bulk.

a = 4.8541 Å, b = 5.9965 Å, c = 4.8541 Å
α = 90.00°, β = 90.00°, γ = 90.00°
Element x y z (fractional)
Ca (0.0000, 0.5000, 0.0000)
As (0.0000, 0.0000, 0.0000)
Cl (0.0000, 0.0000, 0.5000)
Cl (0.5000, 0.0000, 0.0000)
H (0.5000, 0.5000, 0.5000)

Computed properties:
Electronic total energy: -14.73 eV/cell
Space-group type: No. 123

***

First-principles (PBE-GGA) data for crystalline CuReW2 at its relaxed geometry, as listed in Alexandria via LeMat-Bulk.

a = 3.2455 Å, b = 3.2455 Å, c = 5.6666 Å
α = 90.00°, β = 90.00°, γ = 90.00°
Element x y z (fractional)
W (0.0000, 0.0000, 0.0145)
W (0.0000, 0.0000, 0.4855)
Re (0.5000, 0.5000, 0.7500)
Cu (0.5000, 0.5000, 0.2500)

Computed properties:
Electronic total energy: -41.22 eV/cell
Energy of formation from the pure elements: 1.2 eV/f.u.
Energy above the most stable polymorph in this dataset: 0.083 eV/atom
Space-group type: No. 123

***

First-principles (PBE-GGA) data for crystalline Al2Ag at its relaxed geometry, as listed in Alexandria via LeMat-Bulk.

a = 12.7868 Å, b = 12.7868 Å, c = 12.7868 Å
α = 161.78°, β = 161.78°, γ = 25.87°
Element x y z (fractional)
Al (0.8335, 0.3335, 0.5000)
Al (0.6665, 0.1665, 0.5000)
Al (0.9994, 0.4994, 0.5000)
Al (0.7494, 0.7494, 0.0000)
Al (0.5006, 0.0006, 0.5000)
Al (0.5835, 0.5835, 0.0000)
Al (0.4165, 0.4165, 0.0000)
Al (0.2506, 0.2506, 0.0000)
Ag (0.0823, 0.0823, 0.0000)
Ag (0.9177, 0.9177, 0.0000)
Ag (0.3323, 0.8323, 0.5000)
Ag (0.1677, 0.6677, 0.5000)

Computed properties:
Electronic total energy: -41.10 eV/cell
Energy of formation from the pure elements: 0.1 eV/f.u.
Space-group type: No. 141

***

First-principles (PBE-GGA) data for crystalline LaTbPmSc at its relaxed geometry, as listed in Alexandria via LeMat-Bulk.

a = 5.6566 Å, b = 5.6566 Å, c = 5.6566 Å
α = 60.00°, β = 60.00°, γ = 60.00°
Element x y z (fractional)
Pm (0.5000, 0.5000, 0.5000)
Tb (0.2500, 0.2500, 0.2500)
Sc (0.7500, 0.7500, 0.7500)
La (0.0000, 0.0000, 0.0000)

Computed properties:
Electronic total energy: -20.24 eV/cell
Energy of formation from the pure elements: 0.4 eV/f.u.
Energy above the most stable polymorph in this dataset: 0.010 eV/atom
Space-group type: No. 216

***

First-principles (PBE-GGA) data for crystalline MgGa3Co at its relaxed geometry, as listed in Alexandria via LeMat-Bulk.

a = 4.5816 Å, b = 4.5816 Å, c = 4.5816 Å
α = 90.00°, β = 90.00°, γ = 90.00°
Element x y z (fractional)
Mg (0.5000, 0.5000, 0.5000)
Ga (0.5000, 0.0000, 0.0000)
Ga (0.0000, 0.5000, 0.0000)
Ga (0.0000, 0.0000, 0.5000)
Co (0.0000, 0.0000, 0.0000)

Computed properties:
Electronic total energy: -18.08 eV/cell
Energy of formation from the pure elements: -0.3 eV/f.u.
Energy above the most stable polymorph in this dataset: 0.130 eV/atom
Space-group type: No. 221

***

First-principles (PBE-GGA) data for crystalline LaTb2Th6 at its relaxed geometry, as listed in Alexandria via LeMat-Bulk.

a = 3.5463 Å, b = 3.5463 Å, c = 27.1844 Å
α = 90.00°, β = 90.00°, γ = 120.00°
Element x y z (fractional)
Tb (0.3333, 0.6667, 0.3309)
Tb (0.3333, 0.6667, 0.6691)
Th (0.6667, 0.3333, 0.2218)
Th (0.6667, 0.3333, 0.5610)
Th (0.3333, 0.6667, 0.8859)
Th (0.6667, 0.3333, 0.4390)
Th (0.3333, 0.6667, 0.1141)
Th (0.6667, 0.3333, 0.7782)
La (0.6667, 0.3333, 0.0000)

Computed properties:
Electronic total energy: -57.91 eV/cell
Energy of formation from the pure elements: 0.8 eV/f.u.
Space-group type: No. 187

***

First-principles (PBE-GGA) data for crystalline ZrTeMo2 at its relaxed geometry, as listed in Alexandria via LeMat-Bulk.

a = 4.6441 Å, b = 3.2106 Å, c = 5.2762 Å
α = 75.66°, β = 90.00°, γ = 90.00°
Element x y z (fractional)
Mo (0.0000, 0.0234, 0.0412)
Mo (0.5000, 0.3259, 0.2160)
Te (0.0000, 0.3523, 0.4993)
Zr (0.5000, 0.7984, 0.7435)

Computed properties:
Electronic total energy: -32.94 eV/cell
Space-group type: No. 6

***

First-principles (PBE-GGA) data for crystalline RbTe3Au3 at its relaxed geometry, as listed in Alexandria via LeMat-Bulk.

a = 7.7897 Å, b = 7.7897 Å, c = 7.7897 Å
α = 90.00°, β = 90.00°, γ = 90.00°
Element x y z (fractional)
Te (0.0000, 0.2500, 0.5000)
Te (0.5000, 0.0000, 0.7500)
Te (0.5000, 0.0000, 0.2500)
Te (0.0000, 0.7500, 0.5000)
Te (0.7500, 0.5000, 0.0000)
Te (0.2500, 0.5000, 0.0000)
Rb (0.0000, 0.0000, 0.0000)
Rb (0.5000, 0.5000, 0.5000)
Au (0.5000, 0.7500, 0.0000)
Au (0.0000, 0.5000, 0.7500)
Au (0.7500, 0.0000, 0.5000)
Au (0.5000, 0.2500, 0.0000)
Au (0.2500, 0.0000, 0.5000)
Au (0.0000, 0.5000, 0.2500)

Computed properties:
Electronic total energy: -44.79 eV/cell
Energy above the most stable polymorph in this dataset: 0.000 eV/atom
Space-group type: No. 223